Record 1
Below is crystalline KSbIr4 at its relaxed geometry, with properties calculated at the GGA-PBE level.

## Properties
Its space-group type is F-43m. For the uncorrected energy, the calculation gives -6.308 eV per atom. Its energy relative to the elements, uncorrected is 45.3 kJ per mole of atoms. The calculation puts the total moment at 0.00 μB/cell. The density of states at the Fermi level comes out at 9.26 states/eV/cell.

Cell: 5.386 5.386 5.386 Å, 60.00 60.00 60.00°
Positions (direct):
K  0.750  0.750  0.750
Sb  0.000  0.000  0.000
Ir  0.876  0.375  0.375
Ir  0.375  0.375  0.876
Ir  0.375  0.876  0.375
Ir  0.375  0.375  0.375

Record 2
Below is crystalline LiErGa4O8 at its relaxed geometry, with properties calculated at the GGA-PBE level.

## Properties
Its space-group type is R3m. For the uncorrected energy, the calculation gives -6.288 eV per atom. Its energy relative to the elements, uncorrected is -205.2 kJ per mole of atoms. The calculation puts the total moment at 0.00 μB/cell. The density of states at the Fermi level comes out at 0.00 states/eV/cell.

Cell: 6.061 6.061 6.054 Å, 59.96 59.96 60.00°
Positions (direct):
Li  0.003  0.003  0.992
Er  0.381  0.381  0.857
Ga  0.617  0.617  0.149
Ga  0.003  0.494  0.501
Ga  0.494  0.003  0.501
Ga  0.003  0.003  0.501
O  0.243  0.799  0.716
O  0.799  0.243  0.716
O  0.243  0.243  0.716
O  0.239  0.239  0.284
O  0.748  0.228  0.275
O  0.228  0.748  0.275
O  0.748  0.748  0.275
O  0.752  0.752  0.743

Record 3
Below is crystalline Zr2AsOs at its relaxed geometry, with properties calculated at the GGA-PBE level.

## Properties
Its space-group type is Amm2. For the uncorrected energy, the calculation gives -8.922 eV per atom. The calculation puts the total moment at 0.00 μB/cell. The formation energy from the elements is -0.6783 eV per atom. The density of states at the Fermi level comes out at 2.65 states/eV/cell.

Cell: 4.169 3.593 5.375 Å, 70.48 90.00 90.00°
Positions (direct):
As  0.000  0.709  0.457
Os  0.500  0.535  0.803
Zr  0.000  0.986  0.903
Zr  0.500  0.269  0.337

Record 4
Below is crystalline GaTe2IrO at its relaxed geometry, with properties calculated at the GGA-PBE level.

## Properties
Its space-group type is P4/mmm. For the uncorrected energy, the calculation gives -3.230 eV per atom. Its energy relative to the elements, uncorrected is 134.7 kJ per mole of atoms. The calculation puts the total moment at 0.26 μB/cell. The density of states at the Fermi level comes out at 8.39 states/eV/cell.

Cell: 5.261 4.635 5.261 Å, 90.00 90.00 90.00°
Site moments in Bohr magnetons follow the coordinates.
Positions (direct):
Ir  0.000  0.500  0.000  0.41
Te  0.000  0.000  0.500  0.00
Te  0.500  0.000  0.000  0.04
O  0.500  0.500  0.500  -0.21
Ga  0.000  0.000  0.000  0.01

Record 5
Below is crystalline BePdBr2 at its relaxed geometry, with properties calculated at the GGA-PBE level.

## Properties
Its space-group type is I-42d. For the uncorrected energy, the calculation gives -3.238 eV per atom. The value obtained for the offset from the most stable computed form is 0.0000 eV/atom. Its energy relative to the elements, uncorrected is -16.6 kJ per mole of atoms. The calculation puts the total moment at 0.00 μB/cell. The density of states at the Fermi level comes out at 0.00 states/eV/cell.

Cell: 5.857 5.857 6.502 Å, 63.23 63.23 90.00°
Positions (direct):
Be  0.500  0.500  0.000
Be  0.250  0.750  0.500
Br  0.563  0.125  0.250
Br  0.187  0.625  0.250
Br  0.375  0.437  0.750
Br  0.875  0.813  0.750
Pd  0.000  0.000  0.000
Pd  0.750  0.250  0.500

Record 6
Below is crystalline Mg2BeB at its relaxed geometry, with properties calculated at the GGA-PBE level.

## Properties
Its space-group type is P1. For the uncorrected energy, the calculation gives -3.228 eV per atom. The value obtained for the offset from the most stable computed form is 0.0691 eV/atom. The calculation puts the total moment at 0.00 μB/cell. The formation energy from the elements is 0.1700 eV per atom. The density of states at the Fermi level comes out at 1.70 states/eV/cell.

Cell: 4.788 5.001 5.978 Å, 100.84 105.95 116.05°
Positions (direct):
Be  0.108  0.996  0.052
Be  0.972  0.674  0.265
Mg  0.552  0.100  0.812
Mg  0.001  0.225  0.465
Mg  0.739  0.640  0.621
Mg  0.366  0.607  0.048
B  0.583  0.303  0.226
B  0.396  0.064  0.375

Record 7
Below is crystalline KRuRh at its relaxed geometry, with properties calculated at the GGA-PBE level.

## Properties
Its space-group type is P2_1/m. For the uncorrected energy, the calculation gives -5.416 eV per atom. The value obtained for the offset from the most stable computed form is 0.0084 eV/atom. The calculation puts the total moment at 0.00 μB/cell. The formation energy from the elements is 0.4927 eV per atom. The density of states at the Fermi level comes out at 7.82 states/eV/cell.

Cell: 6.626 5.306 4.019 Å, 90.00 89.99 79.70°
Positions (direct):
Ru  0.643  0.557  0.068
Ru  0.536  0.343  0.568
K  0.020  0.714  0.567
K  0.160  0.186  0.067
Rh  0.667  0.058  0.068
Rh  0.514  0.842  0.568

Record 8
Below is crystalline CaNdAlCd at its relaxed geometry, with properties calculated at the GGA-PBE level.

## Properties
Its space-group type is F-43m. For the uncorrected energy, the calculation gives -3.185 eV per atom. The value obtained for the offset from the most stable computed form is 0.0000 eV/atom. The calculation puts the total moment at 0.00 μB/cell. The formation energy from the elements is -0.3278 eV per atom. The density of states at the Fermi level comes out at 1.65 states/eV/cell.

Cell: 5.355 5.355 5.355 Å, 60.00 60.00 60.00°
Positions (direct):
Ca  0.000  0.000  0.000
Nd  0.500  0.500  0.500
Al  0.250  0.250  0.250
Cd  0.750  0.750  0.750

Record 9
Below is crystalline Ac3Ga2HgO9 at its relaxed geometry, with properties calculated at the GGA-PBE level.

## Properties
Its space-group type is P-3m1. For the uncorrected energy, the calculation gives -6.422 eV per atom. Its energy relative to the elements, uncorrected is -212.5 kJ per mole of atoms. The calculation puts the total moment at 0.00 μB/cell. The density of states at the Fermi level comes out at 5.41 states/eV/cell.

Cell: 5.706 5.706 7.365 Å, 90.00 90.00 120.00°
Positions (direct):
Ac  0.333  0.667  0.699
Ac  0.000  0.000  0.000
Ac  0.667  0.333  0.301
Ga  0.333  0.667  0.160
Ga  0.667  0.333  0.840
Hg  0.000  0.000  0.500
O  0.830  0.170  0.697
O  0.830  0.660  0.697
O  0.340  0.170  0.697
O  0.660  0.830  0.303
O  0.170  0.340  0.303
O  0.170  0.830  0.303
O  0.500  0.000  0.000
O  0.000  0.500  0.000
O  0.500  0.500  0.000

Record 10
Below is crystalline CaSm4Dy6 at its relaxed geometry, with properties calculated at the GGA-PBE level.

## Properties
Its space-group type is I-42m. For the uncorrected energy, the calculation gives -4.071 eV per atom. The calculation puts the total moment at 0.00 μB/cell. The formation energy from the elements is 0.3371 eV per atom. The density of states at the Fermi level comes out at 13.98 states/eV/cell.

Cell: 9.888 9.888 9.888 Å, 56.22 141.08 141.08°
Positions (direct):
Ca  0.000  0.000  0.000
Sm  0.000  0.635  0.010
Sm  0.374  0.365  0.365
Sm  0.000  0.010  0.635
Sm  0.626  0.990  0.990
Dy  0.000  0.804  0.455
Dy  0.000  0.455  0.804
Dy  0.349  0.545  0.545
Dy  0.500  0.500  0.000
Dy  0.651  0.196  0.196
Dy  0.500  0.000  0.500

Record 11
Below is crystalline BeSb2IN at its relaxed geometry, with properties calculated at the GGA-PBE level.

## Properties
Its space-group type is P4/mmm. For the uncorrected energy, the calculation gives -3.219 eV per atom. The value obtained for the offset from the most stable computed form is 0.0000 eV/atom. Its energy relative to the elements, uncorrected is 111.0 kJ per mole of atoms. The calculation puts the total moment at 0.00 μB/cell. The density of states at the Fermi level comes out at 3.15 states/eV/cell.

Cell: 4.785 4.785 4.737 Å, 90.00 90.00 90.00°
Positions (direct):
I  0.000  0.000  0.500
Sb  0.000  0.500  0.000
Sb  0.500  0.000  0.000
Be  0.500  0.500  0.500
N  0.000  0.000  0.000

Record 12
Below is crystalline AsRuCl at its relaxed geometry, with properties calculated at the GGA-PBE level.

## Properties
Its space-group type is P3m1. For the uncorrected energy, the calculation gives -5.396 eV per atom. The value obtained for the offset from the most stable computed form is 0.0000 eV/atom. Its energy relative to the elements, uncorrected is -13.4 kJ per mole of atoms. The calculation puts the total moment at 0.00 μB/cell.

Cell: 3.730 3.730 5.740 Å, 90.00 90.00 120.00°
Positions (direct):
Ru  0.333  0.667  0.707
As  0.000  0.000  0.863
Cl  0.667  0.333  0.430